{"formula": "ScCdCoBi", "functional": "PBE", "state": "optimized geometry", "lattice": [[3.907, -2.719, 0.707], [2.991, 0.986, 3.638], [0.225, -2.948, 3.797]], "species": ["Sc", "Co", "Bi", "Cd"], "frac_coords": [[0.250, 0.250, 0.250], [0.750, 0.750, 0.750], [0.000, 0.000, 0.000], [0.500, 0.500, 0.500]], "spacegroup": "F-43m", "crystal_system": "cubic", "de_polymorph_ev_per_atom": 0.0000}